No. 1
This record from Alexandria describes an optimized crystal structure of Sc2Ta2Pb. The functional is PBE-GGA.

Computed properties:
Formation energy in meV/atom: 209.1

Unit cell a=7.4485 b=7.4485 c=3.9973 alpha=90.00 beta=90.00 gamma=90.00
Space group P4/mbm (No. 127)
Unique sites:
Sc  0.1680  0.3320  0.0000 [4 per cell]
Ta  0.1243  0.6243  0.5000 [4 per cell]
Pb  0.0000  0.0000  0.5000 [2 per cell]

***

No. 2
This record from Alexandria describes an optimized crystal structure of Zn2Ni2S. The functional is PBE-GGA.

Computed properties:
E_form (uncorrected) in eV per formula unit: -0.6

Unit cell a=5.9732 b=5.9732 c=3.7387 alpha=90.00 beta=90.00 gamma=90.00
Space group P4/mbm (No. 127)
Unique sites:
Zn  0.1485  0.3515  0.0000 [4 per cell]
Ni  0.1569  0.6569  0.5000 [4 per cell]
S  0.0000  0.0000  0.5000 [2 per cell]

***

No. 3
This record from Alexandria describes an optimized crystal structure of ErHfRuRh. The functional is PBE-GGA.

Computed properties:
Formation energy in meV/atom: -765.1

Unit cell a=6.6273 b=6.6273 c=6.6273 alpha=90.00 beta=90.00 gamma=90.00
Space group F-43m (No. 216)
Unique sites:
Er  0.0000  0.0000  0.0000 [4 per cell]
Hf  0.0000  0.0000  0.5000 [4 per cell]
Ru  0.2500  0.2500  0.7500 [4 per cell]
Rh  0.2500  0.2500  0.2500 [4 per cell]

***

No. 4
This record from Alexandria describes an optimized crystal structure of KLi3Ta4O12. The functional is PBE-GGA.

Computed properties:
E_form (uncorrected) in eV per formula unit: -53.3

Unit cell a=7.6965 b=7.6965 c=7.6965 alpha=90.00 beta=90.00 gamma=90.00
Space group Im-3 (No. 204)
Unique sites:
K  0.0000  0.0000  0.0000 [2 per cell]
Li  0.0000  0.0000  0.5000 [6 per cell]
Ta  0.2500  0.2500  0.2500 [8 per cell]
O  0.0000  0.2983  0.1954 [24 per cell]

***

No. 5
This record from Alexandria describes an optimized crystal structure of Y3Er6Tm. The functional is PBE-GGA.

Computed properties:
Formation energy in meV/atom: 142.4

Unit cell a=10.9615 b=18.8736 c=6.1184 alpha=90.00 beta=90.00 gamma=90.00
Space group Cmc2_1 (No. 36)
Unique sites:
Y  0.0000  0.1089  0.0000 [4 per cell]
Y  0.1702  0.3916  0.3903 [8 per cell]
Er  0.0000  0.2158  0.5705 [4 per cell]
Er  0.0000  0.4509  0.8617 [4 per cell]
Er  0.1644  0.0478  0.4620 [8 per cell]
Er  0.2489  0.2890  0.7945 [8 per cell]
Tm  0.0000  0.2904  0.0819 [4 per cell]

***

No. 6
This record from Alexandria describes an optimized crystal structure of LaVN3. The functional is PBE-GGA.

Computed properties:
E_form (uncorrected) in eV per formula unit: -4.8

Unit cell a=3.7791 b=5.9543 c=6.0308 alpha=96.30 beta=90.20 gamma=91.96
Space group P1 (No. 1)
Unique sites:
La  0.0000  0.0000  0.0000 [1 per cell]
La  0.0035  0.6097  0.4051 [1 per cell]
V  0.4686  0.5614  0.8667 [1 per cell]
V  0.5130  0.0740  0.5622 [1 per cell]
N  0.0059  0.5512  0.8128 [1 per cell]
N  0.0158  0.0784  0.4335 [1 per cell]
N  0.2637  0.2255  0.3380 [1 per cell]
N  0.4988  0.7214  0.1329 [1 per cell]
N  0.5130  0.2254  0.8283 [1 per cell]
N  0.5209  0.7877  0.6462 [1 per cell]

***

What are the spin magnetization values for these records? In order: 0.00 0.00 0.00 0.00 0.00 0.00 μB per atom.